1.
Computed, not measured: a relaxed La4CdIn12 crystal at the PBE level of DFT.

The calculation puts the electronic total energy at -3.571 eV/atom. For the density of states at the Fermi level, the calculation gives 18.06 states/eV/cell. The calculation puts the formation enthalpy at 0 K at -0.42 eV/atom. The crystal system is cubic.

It has space group Im-3m (No. 229), with a = 9.760 Å, b = 9.760 Å, c = 9.760 Å, α = 90.00°, β = 90.00° and γ = 90.00°. The inequivalent atoms are La at (0.250, 0.250, 0.250), Cd at (0.000, 0.000, 0.000), In at (0.000, 0.000, 0.300) and In at (0.000, 0.250, 0.500).

---

2.
Computed, not measured: a relaxed YPtW crystal at the PBE level of DFT.

The calculation puts the electronic total energy at -8.764 eV/atom. For the density of states at the Fermi level, the calculation gives 8.95 states/eV/cell. The calculation puts the formation enthalpy at 0 K at -0.28 eV/atom. The crystal system is monoclinic.

It has space group C2/m (No. 12), with a = 5.329 Å, b = 15.023 Å, c = 2.956 Å, α = 90.00°, β = 101.66° and γ = 90.00°. The inequivalent atoms are Y at (0.000, 0.180, 0.000), Pt at (0.000, 0.365, 0.500) and W at (0.222, 0.000, 0.746).

---

3.
Computed, not measured: a relaxed Ca7H2Pb3 crystal at the PBE level of DFT.

The calculation puts the electronic total energy at -3.107 eV/atom. For the density of states at the Fermi level, the calculation gives 7.29 states/eV/cell. The crystal system is orthorhombic.

It has space group Cmmm (No. 65), with a = 5.104 Å, b = 27.495 Å, c = 4.556 Å, α = 90.00°, β = 90.00° and γ = 90.00°. The inequivalent atoms are Ca at (0.000, 0.000, 0.000), Ca at (0.000, 0.101, 0.500), Ca at (0.000, 0.207, 0.000), Ca at (0.000, 0.405, 0.000), H at (0.000, 0.085, 0.000), Pb at (0.000, 0.317, 0.500) and Pb at (0.000, 0.500, 0.500).

---

4.
Computed, not measured: a relaxed LaMg5Ag2 crystal at the PBE level of DFT.

The calculation puts the electronic total energy at -2.507 eV/atom. For the density of states at the Fermi level, the calculation gives 10.70 states/eV/cell. The calculation puts the formation enthalpy at 0 K at -0.18 eV/atom. The crystal system is orthorhombic.

It has space group Immm (No. 71), with a = 4.400 Å, b = 8.269 Å, c = 10.517 Å, α = 90.00°, β = 90.00° and γ = 90.00°. The inequivalent atoms are La at (0.000, 0.000, 0.000), Mg at (0.000, 0.188, 0.347), Mg at (0.000, 0.500, 0.000) and Ag at (0.000, 0.500, 0.260).

---

5.
Computed, not measured: a relaxed Pr2InI3 crystal at the PBE level of DFT.

The calculation puts the electronic total energy at -3.776 eV/atom. For the density of states at the Fermi level, the calculation gives 12.87 states/eV/cell. The crystal system is monoclinic.

It has space group C2/m (No. 12), with a = 21.074 Å, b = 4.310 Å, c = 14.428 Å, α = 90.00°, β = 129.57° and γ = 90.00°. The inequivalent atoms are Pr at (0.111, 0.000, 0.432), Pr at (0.127, 0.500, 0.828), In at (0.070, 0.000, 0.622), I at (0.044, 0.500, 0.219), I at (0.177, 0.000, 0.036) and I at (0.246, 0.500, 0.617).

---

6.
Computed, not measured: a relaxed ZrBeW2 crystal at the PBE level of DFT.

The calculation puts the electronic total energy at -9.264 eV/atom. For the density of states at the Fermi level, the calculation gives 3.52 states/eV/cell. The calculation puts the formation enthalpy at 0 K at 0.28 eV/atom. The crystal system is tetragonal.

It has space group P4mm (No. 99), with a = 2.740 Å, b = 2.740 Å, c = 8.415 Å, α = 90.00°, β = 90.00° and γ = 90.00°. The inequivalent atoms are Zr at (0.000, 0.000, 0.000), Be at (0.500, 0.500, 0.232), W at (0.000, 0.000, 0.430) and W at (0.500, 0.500, 0.704).

---

Which of these has the lowest electronic total energy?
ZrBeW2

---

Which value of electronic total energy does entry 1 give?
-3.571 eV/atom

---

The lowest electronic total energy belongs to which entry?
ZrBeW2

---

What is the electronic total energy in the third record?
-3.107 eV/atom